Below is a geometry-optimized SrAcCd structure, with properties calculated at the PBE level.

Geometry as CIF:
```
data_SrAcCd
_chemical_formula_sum 'Sr4 Ac4 Cd4'
_cell_length_a 7.930
_cell_length_b 7.930
_cell_length_c 7.930
_cell_angle_alpha 90.00
_cell_angle_beta 90.00
_cell_angle_gamma 90.00
_symmetry_space_group_name_H-M 'P 1'
_symmetry_Int_Tables_number 1
loop_
_symmetry_equiv_pos_as_xyz
'x,y,z'
loop_
_atom_site_label
_atom_site_type_symbol
_atom_site_fract_x
_atom_site_fract_y
_atom_site_fract_z
Sr1 Sr 0.000 0.000 0.000
Sr2 Sr 0.000 0.500 0.500
Sr3 Sr 0.500 0.000 0.500
Sr4 Sr 0.500 0.500 0.000
Ac1 Ac 0.000 0.000 0.500
Ac2 Ac 0.000 0.500 0.000
Ac3 Ac 0.500 0.000 0.000
Ac4 Ac 0.500 0.500 0.500
Cd1 Cd 0.250 0.250 0.750
Cd2 Cd 0.250 0.750 0.250
Cd3 Cd 0.750 0.250 0.250
Cd4 Cd 0.750 0.750 0.750
```

Output
density = 5.69 g/cm3
electronic total energy = -2.248 eV per atom